Entry 1:
# Li2AcH, optimized geometry, DFT GGA-PBE
data_Li2AcH
_cell_length_a 3.4261
_cell_length_b 3.4261
_cell_length_c 27.7713
_cell_angle_alpha 90.00
_cell_angle_beta 90.00
_cell_angle_gamma 120.00
_symmetry_space_group_name_H-M 'R -3 m'
_symmetry_Int_Tables_number 166
_symmetry_space_group_name_Hall '-R 3 2"'
loop_
_atom_site_label
_atom_site_type_symbol
_atom_site_fract_x
_atom_site_fract_y
_atom_site_fract_z
Li1 Li 0.0000 0.0000 0.1248
Ac1 Ac 0.0000 0.0000 0.0000
H1 H 0.0000 0.0000 0.5000
# DFT total energy   -2.648 eV/atom
# Total moment   0.000 μB per atom


Entry 2:
# Li3Ac12H5, optimized geometry, DFT GGA-PBE
data_Li3Ac12H5
_cell_length_a 17.212
_cell_length_b 17.212
_cell_length_c 17.212
_cell_angle_alpha 90.00
_cell_angle_beta 90.00
_cell_angle_gamma 90.00
_symmetry_space_group_name_H-M 'I a -3 d'
_symmetry_Int_Tables_number 230
_symmetry_space_group_name_Hall '-I 4bd 2c 3'
loop_
_atom_site_label
_atom_site_type_symbol
_atom_site_fract_x
_atom_site_fract_y
_atom_site_fract_z
Li1 Li 0.000 0.250 0.125
Ac1 Ac 0.041 0.055 0.651
H1 H 0.000 0.000 0.000
H2 H 0.000 0.250 0.375
# DFT total energy   -3.645 eV/atom
# Total moment   0.000 μB per atom


Entry 3:
# LiAcH, optimized geometry, DFT GGA-PBE
data_LiAcH
_cell_length_a 3.7722
_cell_length_b 3.7722
_cell_length_c 5.9272
_cell_angle_alpha 90.00
_cell_angle_beta 90.00
_cell_angle_gamma 120.00
_symmetry_space_group_name_H-M 'P 3 m 1'
_symmetry_Int_Tables_number 156
loop_
_symmetry_equiv_pos_as_xyz
'x,y,z'
'-y,x-y,z'
'-x+y,-x,z'
'-y,-x,z'
'-x+y,y,z'
'x,x-y,z'
loop_
_atom_site_label
_atom_site_type_symbol
_atom_site_fract_x
_atom_site_fract_y
_atom_site_fract_z
Li1 Li 0.0000 0.0000 0.0000
Ac1 Ac 0.6667 0.3333 0.5257
H1 H 0.3333 0.6667 0.7376
# DFT total energy   -3.124 eV/atom
# Distance to the lowest polymorph of the same formula   175 meV per atom
# Total moment   0.001 μB per atom